Record 1
This record from the Alexandria database describes crystalline CsMgSc3 at its relaxed geometry. The functional is GGA-PBE.

```
CsMgSc3
1.0
5.600 0.000 0.000
0.000 5.600 0.000
0.000 0.000 5.600
Cs Sc Mg
1 3 1
direct
0.500 0.500 0.500
0.000 0.500 0.000
0.000 0.000 0.500
0.500 0.000 0.000
0.000 0.000 0.000
```

ΔH_f (0 K) = 0.870 eV per atom
D(E_F) = 1.575 states/eV per atom

***

Record 2
This record from the Alexandria database describes crystalline Hg5Ru at its relaxed geometry. The functional is GGA-PBE.

```
Hg5Ru
1.0
-4.459 3.819 -6.666
4.248 -6.261 4.655
-4.105 -1.296 2.003
Hg Ru
5 1
direct
0.993 0.007 0.000
0.662 0.338 0.000
0.347 0.653 0.000
0.533 0.467 0.500
0.243 0.757 0.500
0.887 0.113 0.500
```

ΔH_f (0 K) = 0.380 eV per atom
D(E_F) = 0.498 states/eV per atom

***

Record 3
This record from the Alexandria database describes crystalline GeBiSeBr2 at its relaxed geometry. The functional is GGA-PBE.

```
GeBiSeBr2
1.0
-0.591 0.893 5.090
4.306 -2.748 0.982
2.934 4.440 -0.438
Ge Se Bi Br
1 1 1 2
direct
0.000 0.000 0.000
0.000 0.000 0.500
0.500 0.500 0.500
0.000 0.500 0.000
0.500 0.000 0.000
```

energy relative to the elements, uncorrected = 0.23 eV per formula unit
D(E_F) = 0.671 states/eV per atom

***

Number 1: calculated volume 35.12 Å³ per atom, total DFT energy (no corrections) -17.09 eV/cell, polymorph energy (0 for the lowest one) 0 meV/atom. Number 2: calculated volume 21.93 Å³ per atom, total DFT energy (no corrections) -8.50 eV/cell, polymorph energy (0 for the lowest one) 39 meV/atom. Number 3: calculated volume 28.90 Å³ per atom, total DFT energy (no corrections) -15.10 eV/cell, polymorph energy (0 for the lowest one) 0 meV/atom.